No. 1
## BeGeI2 (PBEsol)

Data for a relaxed structure of BeGeI2.

```
data_BeGeI2
_chemical_formula_sum 'Be2 Ge2 I4'
_symmetry_space_group_name_H-M 'P 1'
_symmetry_Int_Tables_number 1
_symmetry_space_group_name_Hall 'P 1'
_cell_length_a 6.3957
_cell_length_b 6.3957
_cell_length_c 6.3957
_cell_angle_alpha 111.26
_cell_angle_beta 108.59
_cell_angle_gamma 108.59
loop_
_atom_site_label
_atom_site_fract_x
_atom_site_fract_y
_atom_site_fract_z
Ge1 0.0000 0.0000 0.0000
Be1 0.0000 0.5000 0.5000
I1 0.0627 0.1877 0.6250
Ge2 0.5000 0.7500 0.2500
I2 0.4373 0.8750 0.8123
I3 0.5627 0.3750 0.4377
I4 0.9373 0.5623 0.1250
Be2 0.5000 0.2500 0.7500
```

Results
Total magnetization: 0.00 μB per formula unit
Formation energy from raw total energies: 0.412 eV per atom
Raw total energy: -2.706 eV/atom



No. 2
## MgBeGe2I (PBEsol)

Data for a relaxed structure of MgBeGe2I.

```
data_MgBeGe2I
_chemical_formula_sum 'Mg1 Be1 Ge2 I1'
_symmetry_space_group_name_H-M 'P 1'
_symmetry_Int_Tables_number 1
_symmetry_space_group_name_Hall 'P 1'
_cell_length_a 4.7607
_cell_length_b 5.1116
_cell_length_c 5.1116
_cell_angle_alpha 90.00
_cell_angle_beta 90.00
_cell_angle_gamma 90.00
loop_
_atom_site_label
_atom_site_fract_x
_atom_site_fract_y
_atom_site_fract_z
Be1 0.5000 0.0000 0.0000
Mg1 0.0000 0.0000 0.0000
Ge1 0.0000 0.5000 0.0000
I1 0.5000 0.5000 0.5000
Ge2 0.0000 0.0000 0.5000
```

Results
Total magnetization: 0.00 μB per formula unit
Formation energy from raw total energies: 0.904 eV per atom
Raw total energy: -2.568 eV/atom



No. 3
## BeGeTeI2 (PBEsol)

Data for a relaxed structure of BeGeTeI2.

```
data_BeGeTeI2
_chemical_formula_sum 'Be1 Ge1 Te1 I2'
_symmetry_space_group_name_H-M 'P 1'
_symmetry_Int_Tables_number 1
_symmetry_space_group_name_Hall 'P 1'
_cell_length_a 5.0551
_cell_length_b 5.0551
_cell_length_c 5.1418
_cell_angle_alpha 90.00
_cell_angle_beta 90.00
_cell_angle_gamma 90.00
loop_
_atom_site_label
_atom_site_fract_x
_atom_site_fract_y
_atom_site_fract_z
Te1 0.0000 0.0000 0.5000
Ge1 0.5000 0.5000 0.5000
I1 0.0000 0.5000 0.0000
I2 0.5000 0.0000 0.0000
Be1 0.0000 0.0000 0.0000
```

Results
Total magnetization: 0.00 μB per formula unit
Formation energy from raw total energies: 0.317 eV per atom
Raw total energy: -2.883 eV/atom



No. 4
## BeIn2NiGe (PBEsol)

Data for a relaxed structure of BeIn2NiGe.

```
data_BeIn2NiGe
_chemical_formula_sum 'Be1 In2 Ni1 Ge1'
_symmetry_space_group_name_H-M 'P 1'
_symmetry_Int_Tables_number 1
_symmetry_space_group_name_Hall 'P 1'
_cell_length_a 4.0107
_cell_length_b 5.2155
_cell_length_c 5.2155
_cell_angle_alpha 90.00
_cell_angle_beta 90.00
_cell_angle_gamma 90.00
loop_
_atom_site_label
_atom_site_fract_x
_atom_site_fract_y
_atom_site_fract_z
In1 0.0000 0.0000 0.5000
Ni1 0.5000 0.5000 0.5000
In2 0.0000 0.5000 0.0000
Be1 0.5000 0.0000 0.0000
Ge1 0.0000 0.0000 0.0000
```

Results
Total magnetization: 0.08 μB per formula unit
Raw total energy: -3.307 eV/atom
E_form: 0.91 eV per atom



No. 5
## BeGe3Ir (PBEsol)

Data for a relaxed structure of BeGe3Ir.

```
data_BeGe3Ir
_chemical_formula_sum 'Be1 Ge3 Ir1'
_symmetry_space_group_name_H-M 'P 1'
_symmetry_Int_Tables_number 1
_symmetry_space_group_name_Hall 'P 1'
_cell_length_a 4.7364
_cell_length_b 4.7364
_cell_length_c 4.7364
_cell_angle_alpha 90.00
_cell_angle_beta 90.00
_cell_angle_gamma 90.00
loop_
_atom_site_label
_atom_site_fract_x
_atom_site_fract_y
_atom_site_fract_z
Be1 0.5000 0.5000 0.5000
Ge1 0.0000 0.5000 0.0000
Ge2 0.5000 0.0000 0.0000
Ge3 0.0000 0.0000 0.5000
Ir1 0.0000 0.0000 0.0000
```

Results
Total magnetization: 0.00 μB per formula unit
Raw total energy: -4.964 eV/atom
E_form: 0.76 eV per atom



No. 6
## BeGeSbIr2 (PBEsol)

Data for a relaxed structure of BeGeSbIr2.

```
data_BeGeSbIr2
_chemical_formula_sum 'Be1 Ge1 Sb1 Ir2'
_symmetry_space_group_name_H-M 'P 1'
_symmetry_Int_Tables_number 1
_symmetry_space_group_name_Hall 'P 1'
_cell_length_a 4.2779
_cell_length_b 4.2779
_cell_length_c 4.4506
_cell_angle_alpha 90.00
_cell_angle_beta 90.00
_cell_angle_gamma 90.00
loop_
_atom_site_label
_atom_site_fract_x
_atom_site_fract_y
_atom_site_fract_z
Ir1 0.5000 0.0000 0.0000
Ir2 0.0000 0.5000 0.0000
Sb1 0.0000 0.0000 0.5000
Ge1 0.5000 0.5000 0.5000
Be1 0.0000 0.0000 0.0000
```

Results
Total magnetization: 0.00 μB per formula unit
Formation energy from raw total energies: 0.649 eV per atom
Raw total energy: -5.979 eV/atom



No. 7
## KBe2GeRh (PBEsol)

Data for a relaxed structure of KBe2GeRh.

```
data_KBe2GeRh
_chemical_formula_sum 'K1 Be2 Ge1 Rh1'
_symmetry_space_group_name_H-M 'P 1'
_symmetry_Int_Tables_number 1
_symmetry_space_group_name_Hall 'P 1'
_cell_length_a 4.4830
_cell_length_b 4.4830
_cell_length_c 4.5847
_cell_angle_alpha 90.00
_cell_angle_beta 90.00
_cell_angle_gamma 90.00
loop_
_atom_site_label
_atom_site_fract_x
_atom_site_fract_y
_atom_site_fract_z
Be1 0.5000 0.0000 0.0000
Ge1 0.0000 0.0000 0.5000
Rh1 0.0000 0.0000 0.0000
K1 0.5000 0.5000 0.5000
Be2 0.0000 0.5000 0.0000
```

Results
Total magnetization: 0.00 μB per formula unit
Raw total energy: -4.347 eV/atom
E_form: 0.10 eV per atom



No. 8
## LiBeGe2 (PBEsol)

Data for a relaxed structure of LiBeGe2.

```
data_LiBeGe2
_chemical_formula_sum 'Li2 Be2 Ge4'
_symmetry_space_group_name_H-M 'P 1'
_symmetry_Int_Tables_number 1
_symmetry_space_group_name_Hall 'P 1'
_cell_length_a 3.9392
_cell_length_b 3.9392
_cell_length_c 8.3723
_cell_angle_alpha 103.61
_cell_angle_beta 103.61
_cell_angle_gamma 90.00
loop_
_atom_site_label
_atom_site_fract_x
_atom_site_fract_y
_atom_site_fract_z
Ge1 0.6250 0.6415 0.7500
Li1 0.5000 0.5000 0.0000
Ge2 0.1250 0.1085 0.7500
Be1 0.2500 0.7500 0.5000
Li2 0.7500 0.2500 0.5000
Ge3 0.3585 0.8750 0.2500
Ge4 0.8915 0.3750 0.2500
Be2 0.0000 0.0000 0.0000
```

Results
Total magnetization: 0.00 μB per formula unit
Raw total energy: -3.816 eV/atom
E_form: 0.15 eV per atom



Question: What is the raw total energy in the third record?
Answer: -2.883 eV/atom



Question: Which of these has the highest raw total energy?
Answer: MgBeGe2I